Entry 1:
Computed, not measured: an optimized crystal structure of TcSbTe2Rh at the GGA-PBE level of DFT.

a b c (Å): 5.1409 5.1409 5.0586
angles (deg): 90.00 90.00 90.00
Last column: nearest neighbours and their distance in Å.
Sites, in units of the cell vectors:
Sb1 0.0000 0.0000 0.5000  2 Tc 2.53
Rh1 0.5000 0.5000 0.5000  8 Te 3.61, 4 Sb 3.64
Te1 0.0000 0.5000 0.0000  2 Tc 2.57
Te2 0.5000 0.0000 0.0000  2 Tc 2.57
Tc1 0.0000 0.0000 0.0000  2 Sb 2.53, 4 Te 2.57

Summary:
- E_tot: -23.51 eV per cell
- Volume: 133.7 Å³ per cell
- Distance to the lowest polymorph of the same formula: 0.000 eV/atom
- Raw formation energy: 924 meV/atom

***

Entry 2:
Computed, not measured: an optimized crystal structure of Ca2TbPb at the GGA-PBE level of DFT.

a b c (Å): 5.1757 4.9205 4.9205
angles (deg): 90.00 90.00 90.00
Last column: nearest neighbours and their distance in Å.
Sites, in units of the cell vectors:
Pb1 0.5000 0.5000 0.5000  4 Tb 3.48, 8 Ca 3.57
Tb1 0.5000 0.0000 0.0000  4 Pb 3.48, 8 Ca 3.57
Ca1 0.0000 0.0000 0.5000  4 Ca 3.48, 4 Tb 3.57, 4 Pb 3.57
Ca2 0.0000 0.5000 0.0000  4 Ca 3.48, 4 Tb 3.57, 4 Pb 3.57

Summary:
- E_tot: -13.48 eV per cell
- Volume: 125.3 Å³ per cell
- Distance to the lowest polymorph of the same formula: 0.000 eV/atom

***

Which formula does entry 1 have?
TcSbTe2Rh

***

distance to the lowest polymorph of the same formula of number 2 (Ca2TbPb)?
0.000 eV/atom

***

What did the first record say?
Computed, not measured: an optimized crystal structure of TcSbTe2Rh at the GGA-PBE level of DFT.

a b c (Å): 5.1409 5.1409 5.0586
angles (deg): 90.00 90.00 90.00
Last column: nearest neighbours and their distance in Å.
Sites, in units of the cell vectors:
Sb1 0.0000 0.0000 0.5000  2 Tc 2.53
Rh1 0.5000 0.5000 0.5000  8 Te 3.61, 4 Sb 3.64
Te1 0.0000 0.5000 0.0000  2 Tc 2.57
Te2 0.5000 0.0000 0.0000  2 Tc 2.57
Tc1 0.0000 0.0000 0.0000  2 Sb 2.53, 4 Te 2.57

Summary:
- E_tot: -23.51 eV per cell
- Volume: 133.7 Å³ per cell
- Distance to the lowest polymorph of the same formula: 0.000 eV/atom
- Raw formation energy: 924 meV/atom